Density functional theory data (PBE) for an optimized crystal structure of Sn2SbPd5.

uncorrected energy = -5.0286 eV per atom
density = 8.9 g cm⁻³
magnetization = 0.00 μB/atom

Structure (CIF):
```
data_Sn2SbPd5
_chemical_formula_sum 'Sn8 Sb4 Pd20'
_symmetry_space_group_name_H-M 'C m c m'
_symmetry_Int_Tables_number 63
_symmetry_space_group_name_Hall '-C 2c 2'
_cell_length_a 3.1001
_cell_length_b 15.5493
_cell_length_c 13.8675
_cell_angle_alpha 90.00
_cell_angle_beta 90.00
_cell_angle_gamma 90.00
loop_
_atom_site_label
_atom_site_fract_x
_atom_site_fract_y
_atom_site_fract_z
Sn1 0.0000 0.1268 0.0846
Sb1 0.0000 0.1294 0.7500
Pd1 0.0000 0.0431 0.5883
Pd2 0.0000 0.2235 0.2500
Pd3 0.0000 0.2280 0.5841
```